# LaTb14Nd | Alexandria | PBE-GGA | relaxed
# energy of formation from the pure elements	0.01	eV per atom
# energy	-4.651	eV/atom
data_LaTb14Nd
_chemical_formula_sum 'La1 Tb14 Nd1'
_cell_length_a 11.5932
_cell_length_b 7.1866
_cell_length_c 7.1866
_cell_angle_alpha 60.14
_cell_angle_beta 90.00
_cell_angle_gamma 90.00
_symmetry_space_group_name_H-M 'P 1'
_symmetry_Int_Tables_number 1
loop_
_symmetry_equiv_pos_as_xyz
'x,y,z'
loop_
_atom_site_label
_atom_site_type_symbol
_atom_site_fract_x
_atom_site_fract_y
_atom_site_fract_z
La1 La 0.0000 0.0000 0.0000
Tb1 Tb 0.0000 0.0006 0.5002
Tb2 Tb 0.0000 0.5002 0.0006
Tb3 Tb 0.2512 0.6674 0.6674
Tb4 Tb 0.2526 0.1676 0.1676
Tb5 Tb 0.2540 0.1672 0.6669
Tb6 Tb 0.2540 0.6669 0.1672
Tb7 Tb 0.5000 0.3343 0.3343
Tb8 Tb 0.5000 0.3352 0.8342
Tb9 Tb 0.5000 0.8342 0.3352
Tb10 Tb 0.5000 0.8338 0.8338
Tb11 Tb 0.7460 0.1672 0.6669
Tb12 Tb 0.7460 0.6669 0.1672
Tb13 Tb 0.7474 0.1676 0.1676
Tb14 Tb 0.7488 0.6674 0.6674
Nd1 Nd 0.0000 0.5001 0.5001

=====

# TcIrBr2 | Alexandria | PBE-GGA | relaxed
# energy above the lowest structure with this stoichiometry	419	kJ/mol of formula units
# energy	-4.392	eV/atom
data_TcIrBr2
_chemical_formula_sum 'Tc1 Ir1 Br2'
_cell_length_a 4.5829
_cell_length_b 4.5829
_cell_length_c 4.5829
_cell_angle_alpha 60.00
_cell_angle_beta 60.00
_cell_angle_gamma 60.00
_symmetry_space_group_name_H-M 'P 1'
_symmetry_Int_Tables_number 1
loop_
_symmetry_equiv_pos_as_xyz
'x,y,z'
loop_
_atom_site_label
_atom_site_type_symbol
_atom_site_fract_x
_atom_site_fract_y
_atom_site_fract_z
Tc1 Tc 0.0000 0.0000 0.0000
Ir1 Ir 0.5000 0.5000 0.5000
Br1 Br 0.2500 0.2500 0.2500
Br2 Br 0.7500 0.7500 0.7500

=====

# Nd5Ni2Hg2 | Alexandria | PBE-GGA | relaxed
# energy of formation from the pure elements	-0.32	eV per atom
# energy	-4.319	eV/atom
data_Nd5Ni2Hg2
_chemical_formula_sum 'Nd10 Ni4 Hg4'
_cell_length_a 8.6860
_cell_length_b 8.6860
_cell_length_c 8.6576
_cell_angle_alpha 90.00
_cell_angle_beta 90.00
_cell_angle_gamma 48.24
_symmetry_space_group_name_H-M 'P 1'
_symmetry_Int_Tables_number 1
loop_
_symmetry_equiv_pos_as_xyz
'x,y,z'
loop_
_atom_site_label
_atom_site_type_symbol
_atom_site_fract_x
_atom_site_fract_y
_atom_site_fract_z
Nd1 Nd 0.0000 0.0000 0.0000
Nd2 Nd 0.0322 0.7243 0.6803
Nd3 Nd 0.2243 0.5322 0.1803
Nd4 Nd 0.2757 0.9678 0.6803
Nd5 Nd 0.4678 0.7757 0.1803
Nd6 Nd 0.5000 0.5000 0.5000
Nd7 Nd 0.5322 0.2243 0.8197
Nd8 Nd 0.7243 0.0322 0.3197
Nd9 Nd 0.7757 0.4678 0.8197
Nd10 Nd 0.9678 0.2757 0.3197
Ni1 Ni 0.1240 0.8760 0.3946
Ni2 Ni 0.3760 0.6240 0.8946
Ni3 Ni 0.6240 0.3760 0.1054
Ni4 Ni 0.8760 0.1240 0.6054
Hg1 Hg 0.2117 0.2117 0.0000
Hg2 Hg 0.2883 0.2883 0.5000
Hg3 Hg 0.7117 0.7117 0.5000
Hg4 Hg 0.7883 0.7883 0.0000

=====

# Pm2Cd2Pt | Alexandria | PBE-GGA | relaxed
# energy of formation from the pure elements	-0.51	eV per atom
# energy	-3.988	eV/atom
data_Pm2Cd2Pt
_chemical_formula_sum 'Pm4 Cd4 Pt2'
_cell_length_a 12.6508
_cell_length_b 12.6508
_cell_length_c 12.6508
_cell_angle_alpha 158.35
_cell_angle_beta 158.35
_cell_angle_gamma 30.81
_symmetry_space_group_name_H-M 'P 1'
_symmetry_Int_Tables_number 1
loop_
_symmetry_equiv_pos_as_xyz
'x,y,z'
loop_
_atom_site_label
_atom_site_type_symbol
_atom_site_fract_x
_atom_site_fract_y
_atom_site_fract_z
Pm1 Pm 0.0615 0.3115 0.7500
Pm2 Pm 0.3115 0.0615 0.2500
Pm3 Pm 0.6885 0.9385 0.7500
Pm4 Pm 0.9385 0.6885 0.2500
Cd1 Cd 0.2040 0.4540 0.7500
Cd2 Cd 0.4540 0.2040 0.2500
Cd3 Cd 0.5460 0.7960 0.7500
Cd4 Cd 0.7960 0.5460 0.2500
Pt1 Pt 0.3750 0.6250 0.7500
Pt2 Pt 0.6250 0.3750 0.2500

=====

# PuPa2Sb | Alexandria | PBE-GGA | relaxed
# energy above the lowest structure with this stoichiometry	68	kJ/mol of formula units
# energy	-9.518	eV/atom
data_PuPa2Sb
_chemical_formula_sum 'Pu1 Pa2 Sb1'
_cell_length_a 3.9257
_cell_length_b 3.9257
_cell_length_c 6.5556
_cell_angle_alpha 90.00
_cell_angle_beta 90.00
_cell_angle_gamma 90.00
_symmetry_space_group_name_H-M 'P 1'
_symmetry_Int_Tables_number 1
loop_
_symmetry_equiv_pos_as_xyz
'x,y,z'
loop_
_atom_site_label
_atom_site_type_symbol
_atom_site_fract_x
_atom_site_fract_y
_atom_site_fract_z
Pu1 Pu 0.0000 0.0000 0.0000
Pa1 Pa 0.5000 0.5000 0.2470
Pa2 Pa 0.5000 0.5000 0.7530
Sb1 Sb 0.0000 0.0000 0.5000

=====

# YCr3Sn | Alexandria | PBE-GGA | relaxed
# energy above the lowest structure with this stoichiometry	334	kJ/mol of formula units
# energy of formation from the pure elements	1.79	eV per atom
# energy	-6.078	eV/atom
data_YCr3Sn
_chemical_formula_sum 'Y1 Cr3 Sn1'
_cell_length_a 4.9923
_cell_length_b 4.9923
_cell_length_c 4.9923
_cell_angle_alpha 90.00
_cell_angle_beta 90.00
_cell_angle_gamma 90.00
_symmetry_space_group_name_H-M 'P 1'
_symmetry_Int_Tables_number 1
loop_
_symmetry_equiv_pos_as_xyz
'x,y,z'
loop_
_atom_site_label
_atom_site_type_symbol
_atom_site_fract_x
_atom_site_fract_y
_atom_site_fract_z
Y1 Y 0.0000 0.0000 0.0000
Cr1 Cr 0.0000 0.0000 0.5000
Cr2 Cr 0.0000 0.5000 0.0000
Cr3 Cr 0.5000 0.0000 0.0000
Sn1 Sn 0.5000 0.5000 0.5000

=====

# PaInF | Alexandria | PBE-GGA | relaxed
# energy	-6.004	eV/atom
data_PaInF
_chemical_formula_sum 'Pa2 In2 F2'
_cell_length_a 3.6062
_cell_length_b 5.9900
_cell_length_c 6.5818
_cell_angle_alpha 79.06
_cell_angle_beta 80.37
_cell_angle_gamma 79.11
_symmetry_space_group_name_H-M 'P 1'
_symmetry_Int_Tables_number 1
loop_
_symmetry_equiv_pos_as_xyz
'x,y,z'
loop_
_atom_site_label
_atom_site_type_symbol
_atom_site_fract_x
_atom_site_fract_y
_atom_site_fract_z
Pa1 Pa 0.2139 0.3276 0.4283
Pa2 Pa 0.7861 0.6724 0.5717
In1 In 0.4201 0.2773 0.9088
In2 In 0.5799 0.7227 0.0912
F1 F 0.2308 0.9246 0.6300
F2 F 0.7692 0.0754 0.3700

=====

# Pr2TmIn2 | Alexandria | PBE-GGA | relaxed
# energy of formation from the pure elements	-0.37	eV per atom
# energy	-4.275	eV/atom
data_Pr2TmIn2
_chemical_formula_sum 'Pr2 Tm1 In2'
_cell_length_a 6.1045
_cell_length_b 6.1045
_cell_length_c 6.1045
_cell_angle_alpha 131.42
_cell_angle_beta 109.63
_cell_angle_gamma 90.14
_symmetry_space_group_name_H-M 'P 1'
_symmetry_Int_Tables_number 1
loop_
_symmetry_equiv_pos_as_xyz
'x,y,z'
loop_
_atom_site_label
_atom_site_type_symbol
_atom_site_fract_x
_atom_site_fract_y
_atom_site_fract_z
Pr1 Pr 0.1935 0.1935 0.0000
Pr2 Pr 0.8065 0.8065 0.0000
Tm1 Tm 0.5000 0.0000 0.5000
In1 In 0.2141 0.5000 0.7141
In2 In 0.7859 0.5000 0.2859

=====

Copy entry 3 word for word.
# Nd5Ni2Hg2 | Alexandria | PBE-GGA | relaxed
# energy of formation from the pure elements	-0.32	eV per atom
# energy	-4.319	eV/atom
data_Nd5Ni2Hg2
_chemical_formula_sum 'Nd10 Ni4 Hg4'
_cell_length_a 8.6860
_cell_length_b 8.6860
_cell_length_c 8.6576
_cell_angle_alpha 90.00
_cell_angle_beta 90.00
_cell_angle_gamma 48.24
_symmetry_space_group_name_H-M 'P 1'
_symmetry_Int_Tables_number 1
loop_
_symmetry_equiv_pos_as_xyz
'x,y,z'
loop_
_atom_site_label
_atom_site_type_symbol
_atom_site_fract_x
_atom_site_fract_y
_atom_site_fract_z
Nd1 Nd 0.0000 0.0000 0.0000
Nd2 Nd 0.0322 0.7243 0.6803
Nd3 Nd 0.2243 0.5322 0.1803
Nd4 Nd 0.2757 0.9678 0.6803
Nd5 Nd 0.4678 0.7757 0.1803
Nd6 Nd 0.5000 0.5000 0.5000
Nd7 Nd 0.5322 0.2243 0.8197
Nd8 Nd 0.7243 0.0322 0.3197
Nd9 Nd 0.7757 0.4678 0.8197
Nd10 Nd 0.9678 0.2757 0.3197
Ni1 Ni 0.1240 0.8760 0.3946
Ni2 Ni 0.3760 0.6240 0.8946
Ni3 Ni 0.6240 0.3760 0.1054
Ni4 Ni 0.8760 0.1240 0.6054
Hg1 Hg 0.2117 0.2117 0.0000
Hg2 Hg 0.2883 0.2883 0.5000
Hg3 Hg 0.7117 0.7117 0.5000
Hg4 Hg 0.7883 0.7883 0.0000